# NaAs2IBr

A relaxed structure of NaAs2IBr (PBE, Alexandria via LeMat-Bulk).

## Properties
SG: P4/mmm (123)
E_form (uncorrected), eV/atom: 0.486
Total magnetic moment, μB/cell: 0.00
Total energy, eV/atom: -2.28
Energy above the most stable polymorph in this dataset, kJ/mol of formula units: 0.0

a b c (Å): 5.2844 5.2844 7.7808
angles (deg): 90.00 90.00 90.00
Atoms (fractional coordinates):
I: 0.0000 0.0000 0.0000
Na: 0.5000 0.5000 0.5000
As: 0.0000 0.5000 0.0000
As: 0.5000 0.0000 0.0000
Br: 0.0000 0.0000 0.5000

# Na2AsIBr

A relaxed structure of Na2AsIBr (PBE, Alexandria via LeMat-Bulk).

## Properties
SG: P4/mmm (123)
E_form (uncorrected), eV/atom: -0.353
Total magnetic moment, μB/cell: 1.34
Total energy, eV/atom: -2.45

a b c (Å): 5.7976 5.2764 5.7976
angles (deg): 90.00 90.00 90.00
Last column: magnetic moment on the atom in μB.
Atoms (fractional coordinates):
I: 0.5000 0.5000 0.5000  0.09
Na: 0.0000 0.0000 0.5000  0.00
Na: 0.5000 0.0000 0.0000  0.00
As: 0.0000 0.5000 0.0000  0.51
Br: 0.0000 0.0000 0.0000  0.05

# NiAs2IBr

A relaxed structure of NiAs2IBr (PBE, Alexandria via LeMat-Bulk).

## Properties
SG: P4/mmm (123)
E_form (uncorrected), eV/atom: 0.362
Total magnetic moment, μB/cell: 0.06
Total energy, eV/atom: -3.30
Energy above the most stable polymorph in this dataset, kJ/mol of formula units: 0.0

a b c (Å): 4.8292 4.8292 4.8651
angles (deg): 90.00 90.00 90.00
Atoms (fractional coordinates):
I: 0.5000 0.5000 0.5000
Ni: 0.0000 0.0000 0.0000
As: 0.0000 0.5000 0.0000
As: 0.5000 0.0000 0.0000
Br: 0.0000 0.0000 0.5000

# NiAs2IBr

A relaxed structure of NiAs2IBr (PBE, Alexandria via LeMat-Bulk).

## Properties
SG: P4/mmm (123)
E_form (uncorrected), eV/atom: 1.530
Total magnetic moment, μB/cell: 2.20
Total energy, eV/atom: -2.13
Energy above the most stable polymorph in this dataset, kJ/mol of formula units: 563.7

a b c (Å): 5.4580 5.4580 5.6324
angles (deg): 90.00 90.00 90.00
Last column: magnetic moment on the atom in μB.
Atoms (fractional coordinates):
I: 0.0000 0.0000 0.0000  0.01
Ni: 0.5000 0.5000 0.5000  1.02
As: 0.0000 0.5000 0.0000  0.24
As: 0.5000 0.0000 0.0000  0.24
Br: 0.0000 0.0000 0.5000  0.10

# NiAsIBr2

A relaxed structure of NiAsIBr2 (PBE, Alexandria via LeMat-Bulk).

## Properties
SG: P4/mmm (123)
E_form (uncorrected), eV/atom: 0.558
Total magnetic moment, μB/cell: 0.88
Total energy, eV/atom: -2.51
Energy above the most stable polymorph in this dataset, kJ/mol of formula units: 159.1

a b c (Å): 5.2504 5.7960 5.2504
angles (deg): 90.00 90.00 90.00
Last column: magnetic moment on the atom in μB.
Atoms (fractional coordinates):
I: 0.0000 0.5000 0.0000  0.01
Ni: 0.5000 0.5000 0.5000  0.92
As: 0.0000 0.0000 0.0000  -0.07
Br: 0.0000 0.0000 0.5000  0.00
Br: 0.5000 0.0000 0.0000  -0.01

# NiAsIBr2

A relaxed structure of NiAsIBr2 (PBE, Alexandria via LeMat-Bulk).

## Properties
SG: P4/mmm (123)
E_form (uncorrected), eV/atom: 1.183
Total magnetic moment, μB/cell: 2.37
Total energy, eV/atom: -1.88
Energy above the most stable polymorph in this dataset, kJ/mol of formula units: 460.6

a b c (Å): 5.7302 5.7302 5.6372
angles (deg): 90.00 90.00 90.00
Last column: magnetic moment on the atom in μB.
Atoms (fractional coordinates):
I: 0.0000 0.0000 0.0000  0.03
Ni: 0.5000 0.5000 0.5000  0.99
As: 0.0000 0.0000 0.5000  0.55
Br: 0.0000 0.5000 0.0000  0.05
Br: 0.5000 0.0000 0.0000  0.05

# NiAsIBr2

A relaxed structure of NiAsIBr2 (PBE, Alexandria via LeMat-Bulk).

## Properties
SG: P4/mmm (123)
E_form (uncorrected), eV/atom: 0.229
Total magnetic moment, μB/cell: 0.00
Total energy, eV/atom: -2.84
Energy above the most stable polymorph in this dataset, kJ/mol of formula units: 0.0

a b c (Å): 4.8465 4.8465 5.0682
angles (deg): 90.00 90.00 90.00
Atoms (fractional coordinates):
I: 0.5000 0.5000 0.5000
Ni: 0.0000 0.0000 0.0000
As: 0.0000 0.0000 0.5000
Br: 0.0000 0.5000 0.0000
Br: 0.5000 0.0000 0.0000

# AsI2BrO

A relaxed structure of AsI2BrO (PBE, Alexandria via LeMat-Bulk).

## Properties
SG: P4/mmm (123)
E_form (uncorrected), eV/atom: 0.826
Total magnetic moment, μB/cell: 0.00
Total energy, eV/atom: -2.05
Energy above the most stable polymorph in this dataset, kJ/mol of formula units: 386.2

a b c (Å): 5.8893 5.8893 3.9430
angles (deg): 90.00 90.00 90.00
Atoms (fractional coordinates):
I: 0.0000 0.5000 0.0000
I: 0.5000 0.0000 0.0000
As: 0.5000 0.5000 0.5000
O: 0.0000 0.0000 0.5000
Br: 0.0000 0.0000 0.0000

# As2IBrO

A relaxed structure of As2IBrO (PBE, Alexandria via LeMat-Bulk).

## Properties
SG: P4/mmm (123)
E_form (uncorrected), eV/atom: 0.566
Total magnetic moment, μB/cell: 0.00
Total energy, eV/atom: -2.93
Energy above the most stable polymorph in this dataset, kJ/mol of formula units: 0.0

a b c (Å): 4.6870 4.6870 4.7783
angles (deg): 90.00 90.00 90.00
Atoms (fractional coordinates):
I: 0.5000 0.5000 0.5000
As: 0.0000 0.5000 0.0000
As: 0.5000 0.0000 0.0000
O: 0.0000 0.0000 0.0000
Br: 0.0000 0.0000 0.5000

# As2IBrO

A relaxed structure of As2IBrO (PBE, Alexandria via LeMat-Bulk).

## Properties
SG: P4/mmm (123)
E_form (uncorrected), eV/atom: 1.528
Total magnetic moment, μB/cell: 2.77
Total energy, eV/atom: -1.97
Energy above the most stable polymorph in this dataset, kJ/mol of formula units: 464.3

a b c (Å): 5.6248 5.6823 5.6248
angles (deg): 90.00 90.00 90.00
Last column: magnetic moment on the atom in μB.
Atoms (fractional coordinates):
I: 0.0000 0.0000 0.0000  -0.02
As: 0.0000 0.0000 0.5000  0.54
As: 0.5000 0.0000 0.0000  0.62
O: 0.5000 0.5000 0.5000  0.12
Br: 0.0000 0.5000 0.0000  0.09

# AsI2BrO

A relaxed structure of AsI2BrO (PBE, Alexandria via LeMat-Bulk).

## Properties
SG: P4/mmm (123)
E_form (uncorrected), eV/atom: 0.025
Total magnetic moment, μB/cell: 0.00
Total energy, eV/atom: -2.85
Energy above the most stable polymorph in this dataset, kJ/mol of formula units: 0.0

a b c (Å): 6.0138 6.0138 3.7510
angles (deg): 90.00 90.00 90.00
Atoms (fractional coordinates):
I: 0.0000 0.5000 0.0000
I: 0.5000 0.0000 0.0000
As: 0.0000 0.0000 0.0000
O: 0.0000 0.0000 0.5000
Br: 0.5000 0.5000 0.5000

# AsOsIBr2

A relaxed structure of AsOsIBr2 (PBE, Alexandria via LeMat-Bulk).

## Properties
SG: P4/mmm (123)
E_form (uncorrected), eV/atom: 0.504
Total magnetic moment, μB/cell: 0.00
Total energy, eV/atom: -3.65
Energy above the most stable polymorph in this dataset, kJ/mol of formula units: 0.0

a b c (Å): 5.1472 5.1472 4.8367
angles (deg): 90.00 90.00 90.00
Atoms (fractional coordinates):
I: 0.5000 0.5000 0.5000
As: 0.0000 0.0000 0.5000
Os: 0.0000 0.0000 0.0000
Br: 0.0000 0.5000 0.0000
Br: 0.5000 0.0000 0.0000

# AsOs2IBr

A relaxed structure of AsOs2IBr (PBE, Alexandria via LeMat-Bulk).

## Properties
SG: P4/mmm (123)
E_form (uncorrected), eV/atom: 1.643
Total magnetic moment, μB/cell: 2.88
Total energy, eV/atom: -4.42

a b c (Å): 4.7121 5.4913 4.7121
angles (deg): 90.00 90.00 90.00
Last column: magnetic moment on the atom in μB.
Atoms (fractional coordinates):
I: 0.5000 0.5000 0.5000  0.03
As: 0.0000 0.0000 0.0000  -0.05
Os: 0.0000 0.0000 0.5000  1.25
Os: 0.5000 0.0000 0.0000  1.26
Br: 0.0000 0.5000 0.0000  0.03

# AsPIBr2

A relaxed structure of AsPIBr2 (PBE, Alexandria via LeMat-Bulk).

## Properties
SG: P4/mmm (123)
E_form (uncorrected), eV/atom: 0.351
Total magnetic moment, μB/cell: 0.00
Total energy, eV/atom: -2.64
Energy above the most stable polymorph in this dataset, kJ/mol of formula units: 0.0

a b c (Å): 4.9512 4.9512 5.4930
angles (deg): 90.00 90.00 90.00
Atoms (fractional coordinates):
I: 0.5000 0.5000 0.5000
P: 0.0000 0.0000 0.0000
As: 0.0000 0.0000 0.5000
Br: 0.0000 0.5000 0.0000
Br: 0.5000 0.0000 0.0000